! Re2BiSe (PBE-GGA, optimized geometry); values from VASP
&SYSTEM
  ibrav = 0, nat = 8, ntyp = 3
/
ATOMIC_SPECIES
Bi 208.98 Bi.upf
Re 186.21 Re.upf
Se 78.96 Se.upf
ATOMIC_POSITIONS angstrom
Bi 0.000 0.000 0.000
Bi -1.755 -1.417 6.888
Re -3.494 -4.954 9.411
Re -1.345 -0.258 4.474
Re -1.992 -3.666 2.792
Re -1.057 -4.016 6.574
Se -2.189 -5.030 4.738
Se -2.730 -1.402 2.907
CELL_PARAMETERS angstrom
-2.295 2.211 5.058
-3.164 -5.015 0.756
1.515 -3.642 5.812
! E above lowest polymorph: 306.5 meV/atom
! Mass density: 10.9 g/cm³
! Crystal system: tetragonal